# NiAg2Ir

A geometry-optimized NiAg2Ir structure (PBE, the Alexandria database).

Offset from the most stable computed form, eV/atom: 0.172
Formation enthalpy at 0 K, eV per atom: 0.375
Total moment, μB/cell: 0.34
D(E_F), states/eV/cell: 10.1

Unit cell a=2.739 b=4.661 c=9.545 alpha=90.00 beta=90.00 gamma=90.00
Space group Immm (No. 71)
Asymmetric unit:
Ni  0.000  0.000  0.000 [2 per cell]
Ag  0.000  0.500  0.262 [4 per cell]
Ir  0.000  0.000  0.500 [2 per cell]